A plane-wave DFT calculation with PBE was carried out for a relaxed structure of Cr3SbW.

Summary:
E = -7.23 eV/atom
Offset from the most stable computed form = 0.617 eV per atom
Formation energy from raw total energies = 1.96 eV per atom
Magnetization = 7.47 μB per formula unit

a = 4.8926 Å, b = 4.8926 Å, c = 4.8926 Å
α = 90.00°, β = 90.00°, γ = 90.00°
Positions (direct):
Cr 0.0000 0.0000 0.5000
Cr 0.0000 0.5000 0.0000
Cr 0.5000 0.0000 0.0000
Sb 0.0000 0.0000 0.0000
W 0.5000 0.5000 0.5000

A plane-wave DFT calculation with PBE was carried out for a relaxed structure of CrSbW2.

Summary:
E = -9.38 eV/atom
Formation energy from raw total energies = 0.53 eV per atom
Magnetization = 0.30 μB per formula unit

a = 2.9685 Å, b = 4.1260 Å, c = 5.4045 Å
α = 90.00°, β = 97.12°, γ = 90.00°
Positions (direct):
Cr 0.0000 0.0000 0.0000
Sb 0.0000 0.0000 0.5000
W 0.4090 0.5000 0.2242
W 0.5910 0.5000 0.7758

- formation energy from raw total energies of number 1 (Cr3SbW)?
  1.96 eV per atom

- The highest E belongs to which entry?
  Cr3SbW

- Among the records above, which one has the highest E?
  Cr3SbW

Copy entry 1 word for word.
A plane-wave DFT calculation with PBE was carried out for a relaxed structure of Cr3SbW.

Summary:
E = -7.23 eV/atom
Offset from the most stable computed form = 0.617 eV per atom
Formation energy from raw total energies = 1.96 eV per atom
Magnetization = 7.47 μB per formula unit

a = 4.8926 Å, b = 4.8926 Å, c = 4.8926 Å
α = 90.00°, β = 90.00°, γ = 90.00°
Positions (direct):
Cr 0.0000 0.0000 0.5000
Cr 0.0000 0.5000 0.0000
Cr 0.5000 0.0000 0.0000
Sb 0.0000 0.0000 0.0000
W 0.5000 0.5000 0.5000